Entry 1:
# ScAsSe2

A relaxed structure of ScAsSe2 (PBE, the Alexandria database).

Output
Formation energy (no corrections)   -14.9 kJ per mole of atoms

```
4
Lattice="0.000 3.440 3.440 3.440 0.000 3.440 3.440 3.440 0.000" Properties=species:S:1:pos:R:3 pbc="T T T"
Sc 0.000 0.000 0.000
As 1.720 1.720 1.720
Se 3.440 3.440 3.440
Se 5.160 5.160 5.160
```

---

Entry 2:
# TlPdPb2

A relaxed structure of TlPdPb2 (PBE, the Alexandria database).

Output
E above lowest polymorph   0.269 eV per atom
ΔH_f (0 K)   0.5 eV per formula unit

```
8
Lattice="-2.261 2.261 10.687 2.261 -2.261 10.687 2.261 2.261 -10.687" Properties=species:S:1:pos:R:3 pbc="T T T"
Tl 0.000 0.000 0.000
Tl 0.000 2.261 5.343
Pd 2.261 0.000 5.343
Pd 0.000 0.000 10.687
Pb 1.131 -1.057 8.015
Pb 1.205 1.131 2.672
Pb 1.131 3.318 -2.672
Pb 1.057 1.131 13.358
```

---

Entry 3:
# Ga4Pd7Pt

A relaxed structure of Ga4Pd7Pt (PBE, the Alexandria database).

Output
ΔH_f (0 K)   -6.1 eV per formula unit

```
12
Lattice="4.937 0.000 0.000 -0.026 5.477 0.000 -1.522 -2.174 6.777" Properties=species:S:1:pos:R:3 pbc="T T T"
Ga 0.746 0.092 1.315
Ga 0.107 1.448 5.494
Ga 3.281 1.854 1.284
Ga 2.642 3.211 5.462
Pd -0.766 3.036 3.436
Pd 0.831 2.905 1.085
Pd 0.192 -1.259 5.903
Pd 1.694 1.651 3.389
Pd 3.196 4.562 0.874
Pd 2.557 0.398 5.693
Pd 4.154 0.266 3.341
Pt 1.707 -1.087 3.389
```

---

Entry 4:
# Tm5In2Sb

A relaxed structure of Tm5In2Sb (PBE, the Alexandria database).

Output
E above lowest polymorph   0.137 eV per atom
Formation energy (no corrections)   -34.8 kJ per mole of atoms

```
8
Lattice="-3.719 3.719 3.870 3.719 -3.719 3.870 3.719 3.719 -3.870" Properties=species:S:1:pos:R:3 pbc="T T T"
Tm 0.000 0.000 0.000
Tm 1.988 1.988 1.594
Tm 1.731 -1.731 5.464
Tm -1.731 1.731 5.464
Tm 1.731 1.731 5.464
In 3.719 0.000 3.599
In 0.000 3.719 3.599
Sb 0.000 0.000 3.136
```

---

Entry 5:
# Ce2Pr3Ru4

A relaxed structure of Ce2Pr3Ru4 (PBE, the Alexandria database).

Output
E above lowest polymorph   0.063 eV per atom
ΔH_f (0 K)   -2.1 eV per formula unit

```
18
Lattice="7.429 -4.986 0.000 7.429 4.986 0.000 -1.251 0.000 6.004" Properties=species:S:1:pos:R:3 pbc="T T T"
Ce 2.242 0.985 2.828
Ce 1.616 -0.985 5.830
Ce 11.992 0.985 0.174
Ce 11.366 -0.985 3.176
Pr 7.117 3.688 1.501
Pr 4.812 1.065 5.330
Pr 8.170 1.065 3.677
Pr 5.437 -1.065 2.327
Pr 8.796 -1.065 0.675
Pr 6.491 -3.688 4.503
Ru 1.772 1.369 5.974
Ru 4.944 1.891 2.264
Ru 2.398 -1.369 2.971
Ru 9.289 1.891 0.739
Ru 4.319 -1.891 5.266
Ru 11.210 1.369 3.033
Ru 8.663 -1.891 3.741
Ru 11.835 -1.369 0.031
```

---

Entry 6:
# Pm7Cd2Rh

A relaxed structure of Pm7Cd2Rh (PBE, the Alexandria database).

Output
ΔH_f (0 K)   1.9 eV per formula unit

```
10
Lattice="0.000 5.551 5.551 5.551 0.000 5.551 5.551 5.551 0.000" Properties=species:S:1:pos:R:3 pbc="T T T"
Pm 0.000 0.000 0.000
Pm 5.551 5.551 2.855
Pm 5.551 2.855 5.551
Pm 8.247 5.551 5.551
Pm 2.855 5.551 5.551
Pm 5.551 8.247 5.551
Pm 5.551 5.551 8.247
Cd 2.776 2.776 2.776
Cd 8.327 8.327 8.327
Rh 5.551 5.551 5.551
```

---

Entry 7:
# Tb8DyTl2

A relaxed structure of Tb8DyTl2 (PBE, the Alexandria database).

Output
E above lowest polymorph   0.096 eV per atom
ΔH_f (0 K)   0.1 eV per formula unit

```
11
Lattice="9.392 -3.427 0.000 9.392 3.427 0.000 -0.535 0.000 5.372" Properties=species:S:1:pos:R:3 pbc="T T T"
Tb 0.808 0.000 1.255
Tb 6.881 1.740 1.488
Tb 5.220 0.000 4.097
Tb 11.368 1.740 3.884
Tb 6.881 -1.740 1.488
Tb 13.029 0.000 1.275
Tb 11.368 -1.740 3.884
Tb 17.441 0.000 4.117
Dy 9.392 0.000 0.000
Tl 3.908 0.000 1.259
Tl 14.341 0.000 4.112
```

---

Entry 8:
# Pm12Ge6Pd

A relaxed structure of Pm12Ge6Pd (PBE, the Alexandria database).

Output
ΔH_f (0 K)   -9.8 eV per formula unit

```
19
Lattice="6.575 3.796 3.987 -6.575 3.796 3.987 0.000 -7.592 3.987" Properties=species:S:1:pos:R:3 pbc="T T T"
Pm -5.800 -1.412 6.606
Pm -1.677 -5.729 5.356
Pm -2.472 -0.357 4.660
Pm -4.123 4.317 5.356
Pm 1.545 -1.962 4.660
Pm -0.927 -2.319 7.302
Pm 0.927 2.319 4.660
Pm -1.545 1.962 7.302
Pm 4.123 -4.317 6.606
Pm 2.472 0.357 7.302
Pm 1.677 5.729 6.606
Pm 5.800 1.412 5.356
Ge -1.178 -3.044 4.207
Ge -2.047 2.542 4.207
Ge -3.225 -0.502 7.755
Ge 3.225 0.502 4.207
Ge 2.047 -2.542 7.755
Ge 1.178 3.044 7.755
Pd 0.000 0.000 0.000
```

---

Entry 9:
# ZnPtSe2

A relaxed structure of ZnPtSe2 (PBE, the Alexandria database).

Output
Formation energy (no corrections)   -11.1 kJ per mole of atoms

```
4
Lattice="1.958 1.131 7.419 -1.958 1.131 7.419 0.000 -2.261 7.419" Properties=species:S:1:pos:R:3 pbc="T T T"
Zn 0.000 0.000 0.000
Pt 0.000 0.000 11.128
Se 0.000 0.000 2.452
Se 0.000 0.000 19.804
```

---

Entry 10:
# La8CuRu3I4

A relaxed structure of La8CuRu3I4 (PBE, the Alexandria database).

Output
Formation energy (no corrections)   -74.4 kJ per mole of atoms

```
16
Lattice="4.238 2.447 8.290 -4.238 2.447 8.290 0.000 -4.893 8.290" Properties=species:S:1:pos:R:3 pbc="T T T"
La -2.211 -1.277 13.965
La 0.000 0.000 5.710
La 0.000 -2.553 10.905
La -2.211 1.277 10.905
La 2.211 -1.277 13.965
La 0.000 2.553 13.965
La 0.000 0.000 19.160
La 2.211 1.277 10.905
Cu 0.000 0.000 12.435
Ru -4.238 0.000 12.435
Ru -2.119 1.223 4.145
Ru 2.119 1.223 4.145
I 0.000 0.000 0.000
I -2.119 -1.223 8.290
I -2.119 1.223 16.580
I 0.000 2.447 8.290
```

---

Entry 11:
# TiFe2Pt8

A relaxed structure of TiFe2Pt8 (PBE, the Alexandria database).

Output
ΔH_f (0 K)   -4.6 eV per formula unit

```
11
Lattice="7.035 -1.969 0.000 7.035 1.969 0.000 -1.783 0.000 5.983" Properties=species:S:1:pos:R:3 pbc="T T T"
Ti 0.000 0.000 0.000
Fe 3.245 0.000 2.144
Fe 9.042 0.000 3.840
Pt 0.600 0.000 2.703
Pt 0.923 0.000 5.482
Pt 3.638 0.000 4.858
Pt 5.915 0.000 1.626
Pt 6.372 0.000 4.358
Pt 8.648 0.000 1.126
Pt 11.363 0.000 0.501
Pt 11.687 0.000 3.280
```

---

Entry 12:
# Tb6Sm2Y3Zr

A relaxed structure of Tb6Sm2Y3Zr (PBE, the Alexandria database).

Output
ΔH_f (0 K)   0.6 eV per formula unit

```
12
Lattice="3.067 -5.304 0.000 3.067 5.304 0.000 -2.026 0.000 11.550" Properties=species:S:1:pos:R:3 pbc="T T T"
Tb -0.004 1.732 8.610
Tb 0.982 0.000 2.944
Tb -0.004 -1.732 8.610
Tb 4.113 1.732 2.940
Tb 3.127 0.000 8.606
Tb 4.113 -1.732 2.940
Sm 2.054 1.769 5.775
Sm 2.054 -1.769 5.775
Y 3.067 3.539 0.000
Y 3.067 0.000 0.000
Y 3.067 -3.539 0.000
Zr -1.013 0.000 5.775
```

---

Entry 13:
# Cs2TeIr

A relaxed structure of Cs2TeIr (PBE, the Alexandria database).

Output
E above lowest polymorph   0.000 eV per atom
Formation energy (no corrections)   -6.0 kJ per mole of atoms

```
8
Lattice="-6.500 6.500 2.491 6.500 -6.500 2.491 6.500 6.500 -2.491" Properties=species:S:1:pos:R:3 pbc="T T T"
Cs 1.089 3.250 0.623
Cs -3.250 5.411 1.868
Cs -1.089 9.749 0.623
Cs 3.250 7.588 1.868
Te 6.500 0.000 1.245
Te 0.000 0.000 2.491
Ir 0.000 0.000 0.000
Ir 0.000 6.500 1.245
```

---

Entry 14:
# LiPaCdRu

A relaxed structure of LiPaCdRu (PBE, the Alexandria database).

Output
ΔH_f (0 K)   0.0 eV per formula unit

```
4
Lattice="0.000 3.354 3.354 3.354 0.000 3.354 3.354 3.354 0.000" Properties=species:S:1:pos:R:3 pbc="T T T"
Li 0.000 0.000 0.000
Pa 1.677 1.677 1.677
Cd 5.030 5.030 5.030
Ru 3.354 3.354 3.354
```

---

Entry 15:
# LiCeYRh

A relaxed structure of LiCeYRh (PBE, the Alexandria database).

Output
ΔH_f (0 K)   -1.3 eV per formula unit

```
4
Lattice="0.000 3.529 3.529 3.529 0.000 3.529 3.529 3.529 0.000" Properties=species:S:1:pos:R:3 pbc="T T T"
Li 0.000 0.000 0.000
Ce 5.294 5.294 5.294
Y 1.765 1.765 1.765
Rh 3.529 3.529 3.529
```

---

Entry 16:
# Sr3Ag5

A relaxed structure of Sr3Ag5 (PBE, the Alexandria database).

Output
E above lowest polymorph   0.000 eV per atom
ΔH_f (0 K)   -1.3 eV per formula unit

```
8
Lattice="3.886 -5.210 0.000 3.886 5.210 0.000 0.000 0.000 5.495" Properties=species:S:1:pos:R:3 pbc="T T T"
Sr 0.000 0.000 0.000
Sr 3.886 2.128 2.747
Sr 3.886 -2.128 2.747
Ag 1.943 2.605 0.000
Ag 1.497 0.000 2.747
Ag 1.943 -2.605 0.000
Ag 3.886 0.000 0.000
Ag 6.275 0.000 2.747
```

---

Entry 17:
# PmCd3Pt

A relaxed structure of PmCd3Pt (PBE, the Alexandria database).

Output
E above lowest polymorph   0.308 eV per atom
ΔH_f (0 K)   -1.0 eV per formula unit

```
10
Lattice="-2.755 2.755 9.383 2.755 -2.755 9.383 2.755 2.755 -9.383" Properties=species:S:1:pos:R:3 pbc="T T T"
Pm 0.000 0.000 3.755
Pm 0.000 0.000 15.011
Cd 1.395 2.755 -2.315
Cd 1.359 0.000 7.068
Cd 2.755 1.395 2.315
Cd 0.000 2.755 0.704
Cd 0.000 1.359 11.698
Cd 0.000 2.755 8.679
Pt 2.755 0.000 4.691
Pt 0.000 0.000 9.383
```

---

Entry 18:
# YBeAu

A relaxed structure of YBeAu (PBE, the Alexandria database).

Output
E above lowest polymorph   0.342 eV per atom
ΔH_f (0 K)   -0.5 eV per formula unit

```
3
Lattice="0.000 3.108 3.108 3.108 0.000 3.108 3.108 3.108 0.000" Properties=species:S:1:pos:R:3 pbc="T T T"
Y 0.000 0.000 0.000
Be 4.663 4.663 4.663
Au 3.108 3.108 3.108
```

---

Entry 19:
# Nb4WC5

A relaxed structure of Nb4WC5 (PBE, the Alexandria database).

Output
ΔH_f (0 K)   -3.4 eV per formula unit

```
10
Lattice="1.584 0.914 12.937 -1.584 0.914 12.937 0.000 -1.829 12.937" Properties=species:S:1:pos:R:3 pbc="T T T"
Nb 0.000 0.000 3.914
Nb 0.000 0.000 11.629
Nb 0.000 0.000 27.182
Nb 0.000 0.000 34.897
W 0.000 0.000 19.406
C 0.000 0.000 0.000
C 0.000 0.000 7.697
C 0.000 0.000 15.555
C 0.000 0.000 23.256
C 0.000 0.000 31.114
```

---

Entry 20:
# SnTeIO2

A relaxed structure of SnTeIO2 (PBE, the Alexandria database).

Output
E above lowest polymorph   0.117 eV per atom
Formation energy (no corrections)   -10.4 kJ per mole of atoms

```
5
Lattice="4.314 0.000 0.000 0.000 4.314 0.000 0.000 0.000 6.381" Properties=species:S:1:pos:R:3 pbc="T T T"
Sn 0.000 0.000 0.000
Te 2.157 2.157 3.191
I 2.157 2.157 0.000
O 0.000 2.157 3.191
O 2.157 0.000 3.191
```

---

no.,final energy (eV/atom)
1,-4.6419
2,-3.6093
3,-5.0531
4,-4.3552
5,-7.2668
6,-4.0530
7,-4.2064
8,-5.2470
9,-3.6861
10,-5.6175
11,-7.0716
12,-5.3797
13,-3.4900
14,-5.3918
15,-5.7483
16,-2.5714
17,-2.9006
18,-4.6701
19,-10.2712
20,-3.8299